No. 1
PmHfAg: relaxed, PBE-GGA.

Cell lengths 3.494, 3.494, 12.038 Å; angles 90.02, 90.02, 90.09 degrees
Fractional coordinates of all 6 atoms:
Pm: 0.249 0.249 0.124
Pm: 0.751 0.751 0.876
Hf: 0.250 0.250 0.695
Hf: 0.750 0.750 0.305
Ag: 0.250 0.250 0.435
Ag: 0.750 0.750 0.565

Computed properties:
ΔH_f (0 K)	27	meV per atom
energy relative to the lowest polymorph listed for this composition	0.036	eV per atom



No. 2
Hg4Te2SeBr: relaxed, PBE-GGA.

Cell lengths 8.072, 8.072, 8.072 Å; angles 130.96, 130.96, 71.87 degrees
Fractional coordinates of all 8 atoms:
Hg: 0.145 0.145 0.547
Hg: 0.401 0.855 0.000
Hg: 0.599 0.599 0.453
Hg: 0.855 0.401 0.000
Te: 0.250 0.750 0.500
Te: 0.750 0.250 0.500
Se: 0.500 0.500 0.000
Br: 0.000 0.000 0.000

Computed properties:
E_form (uncorrected)	-0.168	eV per atom



No. 3
SmCdGaO4: relaxed, PBE-GGA.

Cell lengths 6.525, 6.525, 6.525 Å; angles 121.66, 117.45, 90.82 degrees
Fractional coordinates of all 14 atoms:
Sm: 0.000 0.000 0.000
Sm: 0.500 0.000 0.500
Cd: 0.500 0.000 0.000
Cd: 0.500 0.500 0.500
Ga: 0.123 0.373 0.750
Ga: 0.877 0.627 0.250
O: 0.229 0.745 0.484
O: 0.239 0.255 0.984
O: 0.244 0.248 0.504
O: 0.244 0.741 0.996
O: 0.756 0.259 0.004
O: 0.756 0.752 0.496
O: 0.761 0.745 0.016
O: 0.771 0.255 0.516

Computed properties:
E_form (uncorrected)	-2.070	eV per atom



> Number 1 is which compound?

PmHfAg